The following is a DFT calculation (GGA+U) of a relaxed structure of UFePbO6.

Lattice parameters (Å, degrees): 5.355 5.355 10.096 90.00 90.00 120.00
Site moments in Bohr magnetons follow the coordinates.
Element x y z (fractional)
Pb1 0.000 0.000 0.500  0.06
Pb2 0.000 0.000 0.000  0.06
O1 0.630 0.645 0.142  0.00
O2 0.016 0.645 0.358  0.00
O3 0.984 0.630 0.858  0.00
O4 0.016 0.370 0.142  0.00
O5 0.370 0.355 0.858  0.00
O6 0.370 0.016 0.642  0.00
O7 0.645 0.016 0.858  0.00
O8 0.984 0.355 0.642  0.00
O9 0.355 0.984 0.142  0.00
O10 0.630 0.984 0.358  0.00
O11 0.645 0.630 0.642  0.00
O12 0.355 0.370 0.358  0.00
U1 0.333 0.667 0.750  0.06
U2 0.667 0.333 0.250  0.06
Fe1 0.667 0.333 0.750  1.22
Fe2 0.333 0.667 0.250  1.22

Summary:
magnetic moment = 1.31 μB/f.u.
mass density = 7.91 g/cm³
E_tot = -7.412 eV/atom